(1)
The following is a PBE-GGA calculation of a geometry-optimized BaPaB2O6 structure, from Alexandria via LeMat-Bulk.

Computed properties:
ΔE_f (raw), eV per formula unit: -29.17
Final energy, eV per atom: -8.369
Fermi-level density of states, states/eV per atom: 0.066

Cell lengths 5.3514, 5.3514, 18.2314 Å; angles 90.00, 90.00, 120.00 degrees
Space group R-3 (No. 148, hexagonal axes)
Symmetry-distinct sites (fractional):
1 Ba 0.0000 0.0000 0.0000 (multiplicity 3)
2 Pa 0.0000 0.0000 0.5000 (multiplicity 3)
3 B 0.0000 0.0000 0.2417 (multiplicity 6)
4 O 0.0476 0.4467 0.9092 (multiplicity 18)

---

(2)
The following is a PBE-GGA calculation of a geometry-optimized LaRuPt2 structure, from Alexandria via LeMat-Bulk.

Computed properties:
Final energy, eV per atom: -6.396
Fermi-level density of states, states/eV per atom: 0.737

Cell lengths 2.9153, 2.9153, 29.4925 Å; angles 90.00, 90.00, 120.00 degrees
Space group R-3m (No. 166, hexagonal axes)
Symmetry-distinct sites (fractional):
1 La 0.0000 0.0000 0.0000 (multiplicity 3)
2 Ru 0.0000 0.0000 0.5000 (multiplicity 3)
3 Pt 0.0000 0.0000 0.2404 (multiplicity 6)

---

(3)
The following is a PBE-GGA calculation of a geometry-optimized HfCd2Hg2 structure, from Alexandria via LeMat-Bulk.

Computed properties:
Distance to the lowest polymorph of the same formula, eV/atom: 0.044
Final energy, eV per atom: -2.240
Fermi-level density of states, states/eV per atom: 0.865

Cell lengths 8.323, 8.323, 3.214 Å; angles 90.00, 90.00, 90.00 degrees
Space group P4/mbm (No. 127)
Symmetry-distinct sites (fractional):
1 Hf 0.000 0.000 0.000 (multiplicity 2)
2 Cd 0.124 0.376 0.000 (multiplicity 4)
3 Hg 0.177 0.677 0.500 (multiplicity 4)

---

(4)
The following is a PBE-GGA calculation of a geometry-optimized AcAs2Ru structure, from Alexandria via LeMat-Bulk.

Computed properties:
Distance to the lowest polymorph of the same formula, eV/atom: 0.070
Final energy, eV per atom: -6.422
Fermi-level density of states, states/eV per atom: 0.882

Cell lengths 4.3134, 4.3134, 16.1815 Å; angles 90.00, 90.00, 120.00 degrees
Space group R-3m (No. 166, hexagonal axes)
Symmetry-distinct sites (fractional):
1 Ac 0.0000 0.0000 0.0000 (multiplicity 3)
2 As 0.0000 0.0000 0.2145 (multiplicity 6)
3 Ru 0.0000 0.0000 0.5000 (multiplicity 3)

---

Number 1 is which compound? BaPaB2O6

---

Among the records above, which one has the highest final energy? HfCd2Hg2

---

What is the Fermi-level density of states in the third record? 0.865 states/eV per atom

---

Look up the Fermi-level density of states of the first one. 0.066 states/eV per atom